A relaxed VGaPdAu crystal. Source: Alexandria via LeMat-Bulk, functional PBE.

Cell lengths 4.4733, 4.4733, 4.4733 Å; angles 60.00, 60.00, 60.00 degrees
Sites, in units of the cell vectors:
V 0.0000 0.0000 0.0000
Ga 0.5000 0.5000 0.5000
Pd 0.2500 0.2500 0.2500
Au 0.7500 0.7500 0.7500

Computed properties:
As for the symmetry: F-43m, No. 216. The electronic total energy is -21.2 eV for the cell shown.